The following is a DFT calculation (GGA-PBE) of a relaxed GaCu7Ni4 crystal.

Cell lengths 6.144, 6.144, 6.593 Å; angles 110.80, 110.80, 41.72 degrees
Element x y z (fractional)
Ga 0.000 0.000 0.000
Cu 0.107 0.107 0.514
Cu 0.211 0.211 0.248
Cu 0.251 0.251 0.908
Cu 0.500 0.500 0.000
Cu 0.749 0.749 0.092
Cu 0.789 0.789 0.752
Cu 0.893 0.893 0.486
Ni 0.346 0.346 0.623
Ni 0.431 0.431 0.311
Ni 0.569 0.569 0.689
Ni 0.654 0.654 0.377

Properties
As for the space group: C2/m, No. 12. Its formation energy from the elements is 0.21 eV/atom. For the spin magnetization, the calculation gives 0.0000 μB/atom. Its density of states at the Fermi level is 0.811 states/eV/atom.

---

The following is a DFT calculation (GGA-PBE) of a relaxed GaCu8Ni6 crystal.

Cell lengths 6.227, 6.227, 6.227 Å; angles 64.68, 64.68, 64.68 degrees
Element x y z (fractional)
Ga 0.000 0.000 0.000
Cu 0.138 0.434 0.818
Cu 0.182 0.862 0.566
Cu 0.253 0.253 0.253
Cu 0.434 0.818 0.138
Cu 0.566 0.182 0.862
Cu 0.747 0.747 0.747
Cu 0.818 0.138 0.434
Cu 0.862 0.566 0.182
Ni 0.085 0.662 0.364
Ni 0.338 0.636 0.915
Ni 0.364 0.085 0.662
Ni 0.636 0.915 0.338
Ni 0.662 0.364 0.085
Ni 0.915 0.338 0.636

Properties
As for the space group: R-3, No. 148. Its formation energy from the elements is 0.12 eV/atom. For the spin magnetization, the calculation gives 0.0000 μB/atom. Its density of states at the Fermi level is 0.616 states/eV/atom.

---

Please write out number 2 again, unchanged.
The following is a DFT calculation (GGA-PBE) of a relaxed GaCu8Ni6 crystal.

Cell lengths 6.227, 6.227, 6.227 Å; angles 64.68, 64.68, 64.68 degrees
Element x y z (fractional)
Ga 0.000 0.000 0.000
Cu 0.138 0.434 0.818
Cu 0.182 0.862 0.566
Cu 0.253 0.253 0.253
Cu 0.434 0.818 0.138
Cu 0.566 0.182 0.862
Cu 0.747 0.747 0.747
Cu 0.818 0.138 0.434
Cu 0.862 0.566 0.182
Ni 0.085 0.662 0.364
Ni 0.338 0.636 0.915
Ni 0.364 0.085 0.662
Ni 0.636 0.915 0.338
Ni 0.662 0.364 0.085
Ni 0.915 0.338 0.636

Properties
As for the space group: R-3, No. 148. Its formation energy from the elements is 0.12 eV/atom. For the spin magnetization, the calculation gives 0.0000 μB/atom. Its density of states at the Fermi level is 0.616 states/eV/atom.

---

- Among the records above, which one has the highest formation energy from the elements?
  GaCu7Ni4

---

- Number 2 is which compound?
  GaCu8Ni6